The following is a PBE calculation of a relaxed RbAgP2F crystal, from the Alexandria database.

Computed properties:
The magnetization comes out at 1.324 μB/cell. The value obtained for the theoretical density is 2550 kg/m³. As for the energy: -16.4 eV for the cell shown. The value obtained for the uncorrected formation energy is 0.0169 eV/atom.

a b c (Å): 4.618 4.618 8.377
angles (deg): 90.00 90.00 90.00
Space group P4/mmm (No. 123)
Symmetry-distinct sites (fractional):
Rb 0.000 0.000 0.000
Ag 0.000 0.000 0.500
P 0.000 0.500 0.500
F 0.500 0.500 0.000

The following is a PBE calculation of a relaxed RbAg2PF8 crystal, from the Alexandria database.

Computed properties:
The magnetization comes out at 0.000 μB/cell. The value obtained for the theoretical density is 4244 kg/m³. As for the energy: -51.1 eV for the cell shown. The value obtained for the uncorrected formation energy is -2.0027 eV/atom.

a b c (Å): 5.1936 5.1936 8.1089
angles (deg): 90.00 90.00 120.00
Space group P-3m1 (No. 164)
Symmetry-distinct sites (fractional):
Rb 0.0000 0.0000 0.0000
Ag 0.3333 0.6667 0.2226
P 0.0000 0.0000 0.5000
F 0.1484 0.2968 0.6175
F 0.3333 0.6667 0.9570

The following is a PBE calculation of a relaxed AgPS2F crystal, from the Alexandria database.

Computed properties:
The magnetization comes out at 2.068 μB/cell. The value obtained for the theoretical density is 3239 kg/m³. As for the energy: -13.4 eV for the cell shown. The value obtained for the uncorrected formation energy is 0.9878 eV/atom.

a b c (Å): 4.828 4.828 4.882
angles (deg): 90.00 90.00 90.00
Space group P4/mmm (No. 123)
Symmetry-distinct sites (fractional):
Ag 0.000 0.000 0.000
P 0.000 0.000 0.500
S 0.000 0.500 0.000
F 0.500 0.500 0.500

The following is a PBE calculation of a relaxed AgPS2F crystal, from the Alexandria database.

Computed properties:
The magnetization comes out at 0.327 μB/cell. The value obtained for the theoretical density is 3969 kg/m³. As for the energy: -14.8 eV for the cell shown. The value obtained for the uncorrected formation energy is 0.7226 eV/atom.

a b c (Å): 5.016 5.016 3.691
angles (deg): 90.00 90.00 90.00
Space group P4/mmm (No. 123)
Symmetry-distinct sites (fractional):
Ag 0.000 0.000 0.000
P 0.500 0.500 0.000
S 0.000 0.500 0.500
F 0.500 0.500 0.500

Copy entry 3 word for word.
The following is a PBE calculation of a relaxed AgPS2F crystal, from the Alexandria database.

Computed properties:
The magnetization comes out at 2.068 μB/cell. The value obtained for the theoretical density is 3239 kg/m³. As for the energy: -13.4 eV for the cell shown. The value obtained for the uncorrected formation energy is 0.9878 eV/atom.

a b c (Å): 4.828 4.828 4.882
angles (deg): 90.00 90.00 90.00
Space group P4/mmm (No. 123)
Symmetry-distinct sites (fractional):
Ag 0.000 0.000 0.000
P 0.000 0.000 0.500
S 0.000 0.500 0.000
F 0.500 0.500 0.500

Question: Among the records above, which one has the highest magnetization?
Answer: number 3